No. 1
## TlFeAs (SCAN)

Data for TlFeAs at its PBEsol-relaxed geometry.

abc: 2.9324 2.9324 12.2691
angles: 90.00 90.00 90.00
Last column: nearest neighbours and their distance in Å.
Element x y z (fractional)
Tl: 0.0000 0.0000 0.0000  4 Fe 2.93, 4 Tl 2.93, 1 As 3.27
Tl: 0.5000 0.5000 0.5000  4 Fe 2.93, 4 Tl 2.93, 1 As 3.27
Fe: 0.0000 0.0000 0.3317  4 As 2.40
Fe: 0.5000 0.5000 0.8317  4 As 2.40
As: 0.0000 0.0000 0.7337  4 Fe 2.40
As: 0.5000 0.5000 0.2337  4 Fe 2.40

Values from the calculation:
**Uncorrected energy**: -36.499 eV/atom
**ΔH_f (0 K)**: 0.394 eV per atom
**Space group**: I4mm (107)

---

No. 2
## TaCrSn2Ge (SCAN)

Data for TaCrSn2Ge at its PBEsol-relaxed geometry.

abc: 5.2866 5.2866 4.6369
angles: 90.00 90.00 90.00
Last column: nearest neighbours and their distance in Å.
Element x y z (fractional)
Ta: 0.0000 0.0000 0.0000  2 Cr 2.32
Cr: 0.0000 0.0000 0.5000  2 Ta 2.32
Sn: 0.0000 0.5000 0.0000  2 Ta 2.64
Sn: 0.5000 0.0000 0.0000  2 Ta 2.64
Ge: 0.5000 0.5000 0.5000  8 Sn 3.52, 4 Cr 3.74

Values from the calculation:
**Uncorrected energy**: -34.143 eV/atom
**ΔH_f (0 K)**: 1.036 eV per atom
**Space group**: P4/mmm (123)

---

no.,theoretical density (g/cm3)
1,10.550
2,6.958